1:
A plane-wave DFT calculation with PBE was carried out for a relaxed structure of Pr3Tl2Hg.

Summary:
density = 9.5 g/cm³
crystal system = tetragonal
SG = P4/mmm, No. 123

Geometry as POSCAR:
```
Pr3Tl2Hg
1.0
-2.832 1.075 2.365
-0.597 -3.674 0.955
8.019 1.067 9.118
Tl Pr Hg
2 3 1
Cartesian
4.925 -0.416 9.210 Tl
-0.335 -1.116 3.228 Tl
0.000 0.000 0.000 Pr
5.289 0.704 6.015 Pr
2.729 0.363 3.104 Pr
2.295 -0.766 6.219 Hg
```

2:
A plane-wave DFT calculation with PBE was carried out for a relaxed structure of Pr3Tl2Hg.

Summary:
density = 9.5 g/cm³
crystal system = monoclinic
SG = C2/c, No. 15

Geometry as POSCAR:
```
Pr3Tl2Hg
1.0
-3.254 -2.140 -5.414
4.899 -4.527 -1.155
-3.688 -2.954 7.493
Hg Tl Pr
2 4 6
Cartesian
0.833 -5.265 -5.594 Hg
0.812 -1.403 -0.975 Hg
-0.291 -4.631 -1.135 Tl
1.464 -6.751 2.756 Tl
-3.507 -2.872 -1.832 Tl
-1.751 -4.991 2.059 Tl
-1.705 -1.983 0.902 Pr
2.473 -4.186 -2.865 Pr
-0.828 -2.482 -3.703 Pr
1.463 -3.775 1.520 Pr
-0.338 -7.639 0.022 Pr
-3.506 -5.848 -0.595 Pr
```

Which one is most stable, and which one is least stable? 1 is the most stable of them, while 2 is the least stable.

1:
A plane-wave DFT calculation with PBE was carried out for a relaxed structure of Pr6TlHg5.

Summary:
density = 9.7 g/cm³
crystal system = monoclinic
SG = P2/m, No. 10

Geometry as POSCAR:
```
Pr6TlHg5
1.0
-1.749 5.002 -1.348
-2.603 1.050 7.269
8.163 0.621 2.833
Hg Pr Tl
5 6 1
Cartesian
0.257 4.063 3.682 Hg
-1.059 4.582 7.312 Hg
3.555 2.609 5.072 Hg
-1.301 0.525 3.635 Hg
4.871 2.090 1.442 Hg
2.016 5.363 6.202 Pr
5.346 3.905 7.586 Pr
-1.534 2.767 1.168 Pr
1.796 1.309 2.552 Pr
3.311 4.841 2.585 Pr
0.501 1.832 6.169 Pr
0.000 0.000 0.000 Tl
```

2:
A plane-wave DFT calculation with PBE was carried out for a relaxed structure of Pr6TlHg5.

Summary:
density = 8.9 g/cm³
crystal system = monoclinic
SG = C2/m, No. 12

Geometry as POSCAR:
```
Pr6TlHg5
1.0
-7.387 2.451 5.201
-5.481 -2.055 -3.902
-2.636 -6.346 0.703
Hg Pr Tl
5 6 1
Cartesian
-5.419 -5.229 -2.318 Hg
-9.148 -2.196 -0.619 Hg
-6.434 0.198 0.650 Hg
-6.357 -3.753 2.622 Hg
-2.699 -3.172 -0.881 Hg
-6.806 -0.606 3.670 Pr
-5.991 -2.686 -0.530 Pr
-9.651 0.455 1.290 Pr
-8.699 -5.343 -1.668 Pr
-9.514 -3.263 2.532 Pr
-3.217 -0.058 0.009 Pr
0.000 0.000 0.000 Tl
```

Which one is most stable, and which one is least stable? 1 is the most stable of them, while 2 is the least stable.

1:
A plane-wave DFT calculation with PBE was carried out for a relaxed structure of Pr6Tl3Hg.

Summary:
density = 8.9 g/cm³
crystal system = monoclinic
SG = P2_1/m, No. 11

Geometry as POSCAR:
```
Pr6Tl3Hg
1.0
5.510 0.000 0.000
0.000 9.243 -2.989
0.000 0.144 12.147
Pr Tl Hg
12 6 2
Cartesian
1.378 7.901 1.252 Pr
1.378 1.224 1.477 Pr
4.133 8.397 -1.250 Pr
4.133 7.049 3.805 Pr
1.378 2.338 5.354 Pr
4.133 5.060 9.440 Pr
4.133 8.163 7.682 Pr
1.378 6.215 6.251 Pr
1.378 0.990 10.408 Pr
1.378 4.327 -0.282 Pr
4.133 1.486 7.906 Pr
4.133 3.172 2.907 Pr
4.133 2.125 -0.355 Tl
1.378 4.981 3.064 Tl
4.133 5.819 0.750 Tl
1.378 7.262 9.514 Tl
1.378 3.567 8.408 Tl
4.133 4.405 6.094 Tl
1.378 8.929 4.466 Hg
4.133 0.458 4.692 Hg
```

2:
A plane-wave DFT calculation with PBE was carried out for a relaxed structure of Pr6Tl3Hg.

Summary:
density = 8.2 g/cm³
crystal system = monoclinic
SG = P2_1/c, No. 14

Geometry as POSCAR:
```
Pr6Tl3Hg
1.0
8.476 0.000 -0.058
0.000 8.361 0.000
0.020 0.000 9.489
Tl Pr Hg
6 12 2
Cartesian
3.785 1.297 2.289 Tl
8.032 2.883 7.006 Tl
4.711 7.063 7.143 Tl
4.238 4.180 -0.029 Tl
0.463 5.478 2.426 Tl
0.010 0.000 4.745 Tl
5.568 1.348 5.331 Pr
1.320 2.832 0.615 Pr
7.176 5.529 8.817 Pr
1.431 2.814 4.118 Pr
2.119 5.034 7.069 Pr
6.376 3.326 2.363 Pr
6.347 7.506 2.295 Pr
2.928 7.012 4.101 Pr
7.065 5.546 5.314 Pr
2.817 6.994 0.598 Pr
2.148 0.854 7.137 Pr
5.679 1.366 8.834 Pr
4.248 4.180 4.716 Hg
0.000 0.000 0.000 Hg
```

Which one is most stable, and which one is least stable? 1 is the most stable of them, while 2 is the least stable.